Material: CoCuPt3
Method: DFT, PBEsol
State: optimized geometry

Cell lengths 4.4561, 4.4561, 4.4561 Å; angles 90.00, 90.00, 90.00 degrees
Each line ends with the local moment (μB).
Positions (direct):
Co (0.5000, 0.5000, 0.5000)  2.30
Cu (0.0000, 0.0000, 0.0000)  0.04
Pt (0.0000, 0.5000, 0.0000)  0.17
Pt (0.0000, 0.0000, 0.5000)  0.17
Pt (0.5000, 0.0000, 0.0000)  0.17

Results
ΔH_f (0 K)   7.08 eV per formula unit
Density of states at the Fermi level   1.8207 states/eV per atom
Total moment   2.8 μB/f.u.